(1)
Entry from the Alexandria database: a PBEsol-optimized structure of TcNCl2 (SCAN).

Output
**Uncorrected formation energy**: -163 meV per atom
**Space group**: I-42d, No. 122

Cell: 8.765 8.765 3.705 Å, 90.00 90.00 90.00°
Fractional coordinates of all 16 atoms:
Tc 0.000 0.000 0.000
Tc 0.000 0.500 0.250
Tc 0.500 0.000 0.750
Tc 0.500 0.500 0.500
N 0.000 0.000 0.500
N 0.000 0.500 0.750
N 0.500 0.000 0.250
N 0.500 0.500 0.000
Cl 0.100 0.250 0.125
Cl 0.250 0.600 0.375
Cl 0.250 0.900 0.875
Cl 0.400 0.250 0.625
Cl 0.600 0.750 0.625
Cl 0.750 0.100 0.875
Cl 0.750 0.400 0.375
Cl 0.900 0.750 0.125

(2)
Entry from the Alexandria database: a PBEsol-optimized structure of Ca2CuSi (SCAN).

Output
**Uncorrected formation energy**: -164 meV per atom
**Space group**: P4/mmm, No. 123

Cell: 3.429 3.429 7.338 Å, 90.00 90.00 90.00°
Fractional coordinates of all 4 atoms:
Ca 0.000 0.000 0.247
Ca 0.000 0.000 0.753
Cu 0.500 0.500 0.000
Si 0.500 0.500 0.500

(3)
Entry from the Alexandria database: a PBEsol-optimized structure of CaHfSb2 (SCAN).

Output
**Uncorrected formation energy**: -382 meV per atom
**Space group**: I-42d, No. 122

Cell: 7.937 7.937 6.800 Å, 90.00 90.00 90.00°
Fractional coordinates of all 16 atoms:
Ca 0.000 0.000 0.000
Ca 0.000 0.500 0.250
Ca 0.500 0.000 0.750
Ca 0.500 0.500 0.500
Hf 0.000 0.000 0.500
Hf 0.000 0.500 0.750
Hf 0.500 0.000 0.250
Hf 0.500 0.500 0.000
Sb 0.231 0.750 0.625
Sb 0.250 0.231 0.375
Sb 0.250 0.269 0.875
Sb 0.269 0.750 0.125
Sb 0.731 0.250 0.125
Sb 0.750 0.731 0.875
Sb 0.750 0.769 0.375
Sb 0.769 0.250 0.625

(4)
Entry from the Alexandria database: a PBEsol-optimized structure of Mg3CrSb (SCAN).

Output
**Uncorrected formation energy**: 614 meV per atom
**Space group**: Pm-3m, No. 221

Cell: 5.087 5.087 5.087 Å, 90.00 90.00 90.00°
Fractional coordinates of all 5 atoms:
Mg 0.000 0.000 0.500
Mg 0.000 0.500 0.000
Mg 0.500 0.000 0.000
Cr 0.000 0.000 0.000
Sb 0.500 0.500 0.500

(5)
Entry from the Alexandria database: a PBEsol-optimized structure of VRe2O9 (SCAN).

Output
**Uncorrected formation energy**: -1836 meV per atom
**Space group**: Cmc2_1, No. 36

Cell: 7.846 7.846 8.881 Å, 90.00 90.00 137.57°
Fractional coordinates of all 24 atoms:
V 0.117 0.883 0.500
V 0.883 0.117 0.000
Re 0.230 0.770 0.092
Re 0.477 0.523 0.407
Re 0.523 0.477 0.907
Re 0.770 0.230 0.592
O 0.032 0.451 0.047
O 0.064 0.936 0.654
O 0.134 0.866 0.980
O 0.195 0.805 0.280
O 0.199 0.294 0.897
O 0.294 0.199 0.397
O 0.400 0.600 0.261
O 0.419 0.581 0.576
O 0.451 0.032 0.547
O 0.549 0.968 0.047
O 0.581 0.419 0.076
O 0.600 0.400 0.761
O 0.706 0.801 0.897
O 0.801 0.706 0.397
O 0.805 0.195 0.780
O 0.866 0.134 0.480
O 0.936 0.064 0.154
O 0.968 0.549 0.547

(6)
Entry from the Alexandria database: a PBEsol-optimized structure of Ba2CaP (SCAN).

Output
**Space group**: P4mm, No. 99
**Total energy**: -25.37 eV/atom

Cell: 3.853 3.853 10.096 Å, 90.00 90.00 90.00°
Fractional coordinates of all 4 atoms:
Ba 0.000 0.000 0.000
Ba 0.500 0.500 0.374
Ca 0.000 0.000 0.693
P 0.500 0.500 0.819

(7)
Entry from the Alexandria database: a PBEsol-optimized structure of ZrPtW2 (SCAN).

Output
**E above lowest polymorph**: 0.039 eV per atom
**Space group**: I4/mmm, No. 139

Cell: 3.907 3.907 8.787 Å, 90.00 90.00 90.00°
Fractional coordinates of all 8 atoms:
Zr 0.000 0.000 0.000
Zr 0.500 0.500 0.500
Pt 0.000 0.000 0.500
Pt 0.500 0.500 0.000
W 0.000 0.500 0.250
W 0.000 0.500 0.750
W 0.500 0.000 0.250
W 0.500 0.000 0.750

(8)
Entry from the Alexandria database: a PBEsol-optimized structure of Zn2SbN3 (SCAN).

Output
**Uncorrected formation energy**: 41 meV per atom
**Space group**: Cmc2_1, No. 36

Cell: 5.753 5.753 5.400 Å, 90.00 90.00 59.85°
Fractional coordinates of all 12 atoms:
Zn 0.009 0.335 0.000
Zn 0.335 0.009 0.500
Zn 0.665 0.991 0.000
Zn 0.991 0.665 0.500
Sb 0.321 0.679 0.011
Sb 0.679 0.321 0.511
N 0.000 0.332 0.626
N 0.000 0.668 0.126
N 0.332 0.000 0.126
N 0.340 0.660 0.631
N 0.660 0.340 0.131
N 0.668 0.000 0.626

(9)
Entry from the Alexandria database: a PBEsol-optimized structure of Li2V4O5F8 (SCAN).

Output
**Uncorrected formation energy**: -2891 meV per atom
**Space group**: C2/m, No. 12

Cell: 6.325 6.325 10.068 Å, 100.30 100.30 33.77°
Fractional coordinates of all 19 atoms:
Li 0.077 0.077 0.128
Li 0.923 0.923 0.872
V 0.146 0.146 0.497
V 0.224 0.224 0.890
V 0.776 0.776 0.110
V 0.854 0.854 0.503
O 0.000 0.000 0.500
O 0.268 0.268 0.090
O 0.317 0.317 0.493
O 0.683 0.683 0.507
O 0.732 0.732 0.910
F 0.075 0.075 0.912
F 0.120 0.120 0.316
F 0.180 0.180 0.700
F 0.376 0.376 0.876
F 0.624 0.624 0.124
F 0.820 0.820 0.300
F 0.880 0.880 0.684
F 0.925 0.925 0.088

(10)
Entry from the Alexandria database: a PBEsol-optimized structure of Mn2NiMo (SCAN).

Output
**Space group**: C2/m, No. 12
**Total energy**: -21.77 eV/atom

Cell: 5.046 8.272 2.504 Å, 90.00 114.01 90.00°
Fractional coordinates of all 8 atoms:
Mn 0.250 0.250 0.000
Mn 0.250 0.750 0.000
Mn 0.750 0.250 0.000
Mn 0.750 0.750 0.000
Ni 0.000 0.000 0.500
Ni 0.500 0.500 0.500
Mo 0.000 0.500 0.500
Mo 0.500 0.000 0.500